(1)
Here is an optimized crystal structure of TlCrTe from Alexandria. Energies are from GGA-PBE.

Calculated values
The formation energy from raw total energies is 177 meV per atom. The crystal system is cubic. Its polymorph energy (0 for the lowest one) is 102 meV/atom. For the total moment, the calculation gives 1.660 μB per atom.

Unit cell a=6.994 b=6.994 c=6.994 alpha=90.00 beta=90.00 gamma=90.00
Space group F-43m (No. 216)
Unique sites:
Tl  0.000  0.000  0.000
Cr  0.250  0.250  0.750
Te  0.000  0.000  0.500

=====

(2)
Here is an optimized crystal structure of Tl3Cr5Te12 from Alexandria. Energies are from GGA-PBE.

Calculated values
The formation energy from raw total energies is -22 meV per atom. The crystal system is cubic. For the total moment, the calculation gives 0.448 μB per atom.

Unit cell a=17.164 b=17.164 c=17.164 alpha=90.00 beta=90.00 gamma=90.00
Space group Ia-3d (No. 230)
Unique sites:
Tl  0.000  0.250  0.125
Cr  0.000  0.000  0.000
Cr  0.000  0.250  0.375
Te  0.038  0.054  0.646

=====

(3)
Here is an optimized crystal structure of Tl5CrTe5 from Alexandria. Energies are from GGA-PBE.

Calculated values
The formation energy from raw total energies is -146 meV per atom. The crystal system is monoclinic. For the total moment, the calculation gives 0.248 μB per atom.

Unit cell a=15.199 b=6.187 c=8.683 alpha=90.00 beta=113.57 gamma=90.00
Space group C2/m (No. 12)
Unique sites:
Tl  0.000  0.000  0.000
Tl  0.129  0.500  0.263
Tl  0.207  0.500  0.787
Cr  0.000  0.000  0.500
Te  0.000  0.500  0.500
Te  0.140  0.000  0.813
Te  0.152  0.000  0.413

=====

(4)
Here is an optimized crystal structure of Tl2CrTe from Alexandria. Energies are from GGA-PBE.

Calculated values
The formation energy from raw total energies is 301 meV per atom. The crystal system is tetragonal. Its polymorph energy (0 for the lowest one) is 170 meV/atom. For the total moment, the calculation gives 1.140 μB per atom.

Unit cell a=4.862 b=4.862 c=9.261 alpha=90.00 beta=90.00 gamma=90.00
Space group I-4m2 (No. 119)
Unique sites:
Tl  0.000  0.000  0.000
Tl  0.000  0.500  0.250
Cr  0.000  0.500  0.750
Te  0.000  0.000  0.500

=====

(5)
Here is an optimized crystal structure of Tl2CrTe from Alexandria. Energies are from GGA-PBE.

Calculated values
The formation energy from raw total energies is 133 meV per atom. The crystal system is orthorhombic. Its polymorph energy (0 for the lowest one) is 2 meV/atom. For the total moment, the calculation gives 1.049 μB per atom.

Unit cell a=3.826 b=4.158 c=14.636 alpha=90.00 beta=90.00 gamma=90.00
Space group Immm (No. 71)
Unique sites:
Tl  0.000  0.000  0.183
Cr  0.000  0.500  0.500
Te  0.000  0.500  0.000

=====

(6)
Here is an optimized crystal structure of Tl2CrTe from Alexandria. Energies are from GGA-PBE.

Calculated values
The formation energy from raw total energies is 232 meV per atom. The crystal system is monoclinic. Its polymorph energy (0 for the lowest one) is 101 meV/atom. For the total moment, the calculation gives 1.091 μB per atom.

Unit cell a=6.042 b=12.116 c=4.265 alpha=90.00 beta=133.89 gamma=90.00
Space group C2/m (No. 12)
Unique sites:
Tl  0.250  0.250  0.000
Cr  0.000  0.000  0.500
Te  0.000  0.500  0.500

=====

(7)
Here is an optimized crystal structure of Tl2CrTe from Alexandria. Energies are from GGA-PBE.

Calculated values
The formation energy from raw total energies is 338 meV per atom. The crystal system is cubic. Its polymorph energy (0 for the lowest one) is 207 meV/atom. For the total moment, the calculation gives 1.027 μB per atom.

Unit cell a=7.558 b=7.558 c=7.558 alpha=90.00 beta=90.00 gamma=90.00
Space group F-43m (No. 216)
Unique sites:
Tl  0.000  0.000  0.000
Tl  0.250  0.250  0.250
Cr  0.000  0.000  0.500
Te  0.250  0.250  0.750

=====

(8)
Here is an optimized crystal structure of Tl2CrTe from Alexandria. Energies are from GGA-PBE.

Calculated values
The formation energy from raw total energies is 169 meV per atom. The crystal system is monoclinic. Its polymorph energy (0 for the lowest one) is 38 meV/atom. For the total moment, the calculation gives 1.008 μB per atom.

Unit cell a=4.365 b=3.931 c=6.912 alpha=90.00 beta=108.28 gamma=90.00
Space group Pm (No. 6)
Unique sites:
Tl  0.000  0.000  0.000
Tl  0.336  0.500  0.673
Cr  0.769  0.000  0.539
Te  0.626  0.500  0.251

=====

(9)
Here is an optimized crystal structure of TlCrTe from Alexandria. Energies are from GGA-PBE.

Calculated values
The formation energy from raw total energies is 171 meV per atom. The crystal system is tetragonal. Its polymorph energy (0 for the lowest one) is 96 meV/atom. For the total moment, the calculation gives 1.269 μB per atom.

Unit cell a=3.619 b=3.619 c=12.868 alpha=90.00 beta=90.00 gamma=90.00
Space group I4mm (No. 107)
Unique sites:
Tl  0.000  0.000  0.000
Cr  0.000  0.000  0.324
Te  0.000  0.000  0.741

=====

(10)
Here is an optimized crystal structure of TlCr4Te from Alexandria. Energies are from GGA-PBE.

Calculated values
The formation energy from raw total energies is 708 meV per atom. The crystal system is cubic. For the total moment, the calculation gives 0.001 μB per atom.

Unit cell a=7.191 b=7.191 c=7.191 alpha=90.00 beta=90.00 gamma=90.00
Space group F-43m (No. 216)
Unique sites:
Tl  0.000  0.000  0.000
Cr  0.127  0.127  0.627
Te  0.250  0.250  0.250

=====

(11)
Here is an optimized crystal structure of Tm2Tl3CrTe6 from Alexandria. Energies are from GGA-PBE.

Calculated values
The formation energy from raw total energies is -731 meV per atom. The crystal system is monoclinic. For the total moment, the calculation gives 0.254 μB per atom.

Unit cell a=7.468 b=12.923 c=8.485 alpha=90.00 beta=107.05 gamma=90.00
Space group C2/m (No. 12)
Unique sites:
Tm  0.000  0.165  0.000
Tl  0.000  0.000  0.500
Tl  0.000  0.323  0.500
Cr  0.000  0.500  0.000
Te  0.221  0.345  0.199
Te  0.241  0.500  0.791

=====

(12)
Here is an optimized crystal structure of Tm3Tl3CrTe8 from Alexandria. Energies are from GGA-PBE.

Calculated values
The formation energy from raw total energies is -807 meV per atom. The crystal system is monoclinic. For the total moment, the calculation gives 0.180 μB per atom.

Unit cell a=14.850 b=8.558 c=9.615 alpha=90.00 beta=121.03 gamma=90.00
Space group C2/m (No. 12)
Unique sites:
Tm  0.000  0.000  0.000
Tm  0.250  0.250  0.000
Tl  0.000  0.500  0.500
Tl  0.250  0.250  0.500
Cr  0.000  0.500  0.000
Te  0.011  0.268  0.801
Te  0.221  0.500  0.199
Te  0.238  0.000  0.214

=====

(13)
Here is an optimized crystal structure of UTl2CrTe4 from Alexandria. Energies are from GGA-PBE.

Calculated values
The formation energy from raw total energies is -369 meV per atom. The crystal system is monoclinic. For the total moment, the calculation gives 0.750 μB per atom.

Unit cell a=7.286 b=4.308 c=8.623 alpha=90.00 beta=106.59 gamma=90.00
Space group P2/m (No. 10)
Unique sites:
U  0.000  0.000  0.000
Tl  0.000  0.500  0.500
Tl  0.500  0.000  0.500
Cr  0.500  0.500  0.000
Te  0.253  0.500  0.210
Te  0.285  0.000  0.804

=====

(14)
Here is an optimized crystal structure of Tl3VCr2Te6 from Alexandria. Energies are from GGA-PBE.

Calculated values
The formation energy from raw total energies is -256 meV per atom. The crystal system is monoclinic. For the total moment, the calculation gives 0.693 μB per atom.

Unit cell a=7.166 b=12.428 c=8.120 alpha=90.00 beta=107.22 gamma=90.00
Space group C2/m (No. 12)
Unique sites:
Tl  0.000  0.000  0.000
Tl  0.000  0.334  0.000
V  0.000  0.500  0.500
Cr  0.000  0.167  0.500
Te  0.227  0.000  0.685
Te  0.230  0.332  0.686

=====

(15)
Here is an optimized crystal structure of Tl2VCr2Te6 from Alexandria. Energies are from GGA-PBE.

Calculated values
The formation energy from raw total energies is -254 meV per atom. The crystal system is monoclinic. For the total moment, the calculation gives 0.665 μB per atom.

Unit cell a=6.878 b=11.936 c=8.430 alpha=90.00 beta=105.97 gamma=90.00
Space group C2/m (No. 12)
Unique sites:
Tl  0.000  0.164  0.000
V  0.000  0.000  0.500
Cr  0.000  0.330  0.500
Te  0.226  0.500  0.685
Te  0.232  0.167  0.688

=====

(16)
Here is an optimized crystal structure of TlVCrTe3 from Alexandria. Energies are from GGA-PBE.

Calculated values
The formation energy from raw total energies is -192 meV per atom. The crystal system is monoclinic. For the total moment, the calculation gives 0.443 μB per atom.

Unit cell a=8.815 b=3.825 c=10.736 alpha=90.00 beta=113.47 gamma=90.00
Space group P2_1/m (No. 11)
Unique sites:
Tl  0.242  0.250  0.208
V  0.441  0.250  0.912
Cr  0.181  0.750  0.660
Te  0.055  0.750  0.382
Te  0.234  0.750  0.931
Te  0.401  0.250  0.653

=====

(17)
Here is an optimized crystal structure of Y2Tl3CrTe6 from Alexandria. Energies are from GGA-PBE.

Calculated values
The formation energy from raw total energies is -754 meV per atom. The crystal system is monoclinic. For the total moment, the calculation gives 0.253 μB per atom.

Unit cell a=7.525 b=13.030 c=8.481 alpha=90.00 beta=107.19 gamma=90.00
Space group C2/m (No. 12)
Unique sites:
Y  0.000  0.165  0.000
Tl  0.000  0.000  0.500
Tl  0.000  0.322  0.500
Cr  0.000  0.500  0.000
Te  0.220  0.346  0.201
Te  0.237  0.500  0.789

=====

(18)
Here is an optimized crystal structure of YTlCr2Te from Alexandria. Energies are from GGA-PBE.

Calculated values
The formation energy from raw total energies is 998 meV per atom. The crystal system is tetragonal. For the total moment, the calculation gives 2.030 μB per atom.

Unit cell a=5.709 b=5.709 c=5.743 alpha=90.00 beta=90.00 gamma=90.00
Space group P4/mmm (No. 123)
Unique sites:
Y  0.000  0.000  0.000
Tl  0.500  0.500  0.500
Cr  0.000  0.500  0.000
Te  0.000  0.000  0.500

=====

(19)
Here is an optimized crystal structure of Zr2Tl2CrTe6 from Alexandria. Energies are from GGA-PBE.

Calculated values
The formation energy from raw total energies is -559 meV per atom. The crystal system is monoclinic. For the total moment, the calculation gives 0.310 μB per atom.

Unit cell a=7.041 b=12.204 c=8.723 alpha=90.00 beta=106.56 gamma=90.00
Space group C2/m (No. 12)
Unique sites:
Zr  0.000  0.173  0.000
Tl  0.000  0.329  0.500
Cr  0.000  0.500  0.000
Te  0.237  0.342  0.204
Te  0.249  0.000  0.196

=====

| no. | V (Å³ per atom) |
| --- | --- |
| 1 | 28.50 |
| 2 | 31.60 |
| 3 | 34.02 |
| 4 | 27.36 |
| 5 | 29.10 |
| 6 | 28.13 |
| 7 | 26.98 |
| 8 | 28.15 |
| 9 | 28.09 |
| 10 | 15.50 |
| 11 | 32.62 |
| 12 | 34.90 |
| 13 | 32.43 |
| 14 | 28.78 |
| 15 | 30.24 |
| 16 | 27.67 |
| 17 | 33.10 |
| 18 | 37.43 |
| 19 | 32.66 |